Record 1
An optimized crystal structure of CsSr2Cl5. Source: Alexandria via LeMat-Bulk, functional PBE-GGA.

Mass density   3.1 g/cm3
ΔE_f (raw)   -2359 meV per atom
Symmetry   No. 71
E   -32.33 eV per cell

Unit cell a=4.5341 b=7.3867 c=8.9253 alpha=114.44 beta=104.71 gamma=90.00
Last column: nearest neighbours and their distance in Å.
Fractional coordinates of all 8 atoms:
Cl 0.3402 0.5990 0.6804  3 Sr 2.99-3.02
Cl 0.6598 0.4010 0.3196  3 Sr 2.99-3.02
Cl 0.3402 0.0815 0.6804  3 Sr 2.99-3.02
Cl 0.6598 0.9185 0.3196  3 Sr 2.99-3.02
Sr 0.1840 0.6840 0.3680  7 Cl 2.87-3.02
Sr 0.8160 0.3160 0.6320  7 Cl 2.87-3.02
Cs 0.0000 0.0000 0.0000  10 Cl 3.69-3.81
Cl 0.0000 0.5000 0.0000  2 Sr 2.87

Record 2
An optimized crystal structure of BaTlTc3. Source: Alexandria via LeMat-Bulk, functional PBE-GGA.

Formation enthalpy at 0 K   13.56 eV per formula unit
Mass density   7.6 g/cm3
Symmetry   No. 221
E   -21.83 eV per cell
E above lowest polymorph   772 meV/atom

Unit cell a=5.1777 b=5.1777 c=5.1777 alpha=90.00 beta=90.00 gamma=90.00
Last column: nearest neighbours and their distance in Å.
Fractional coordinates of all 5 atoms:
Tl 0.5000 0.5000 0.5000  12 Tc 3.66
Tc 0.0000 0.0000 0.5000  2 Ba 2.59
Tc 0.0000 0.5000 0.0000  2 Ba 2.59
Ba 0.0000 0.0000 0.0000  6 Tc 2.59
Tc 0.5000 0.0000 0.0000  2 Ba 2.59

Record 3
An optimized crystal structure of Tb2CdHg2. Source: Alexandria via LeMat-Bulk, functional PBE-GGA.

Formation enthalpy at 0 K   -2.03 eV per formula unit
Mass density   10.6 g/cm3
Symmetry   No. 127
E   -25.62 eV per cell

Unit cell a=3.9640 b=8.0922 c=8.0922 alpha=90.00 beta=90.00 gamma=90.00
Last column: nearest neighbours and their distance in Å.
Fractional coordinates of all 10 atoms:
Tb 0.5000 0.1681 0.6681  6 Hg 3.03-3.15
Cd 0.0000 0.5000 0.5000  4 Hg 3.16
Hg 0.0000 0.6320 0.1320  1 Hg 3.02, 6 Tb 3.03-3.15, 2 Cd 3.16
Tb 0.5000 0.3319 0.1681  6 Hg 3.03-3.15
Hg 0.0000 0.8680 0.6320  1 Hg 3.02, 6 Tb 3.03-3.15, 2 Cd 3.16
Tb 0.5000 0.6681 0.8319  6 Hg 3.03-3.15
Tb 0.5000 0.8319 0.3319  6 Hg 3.03-3.15
Cd 0.0000 0.0000 0.0000  4 Hg 3.16
Hg 0.0000 0.3680 0.8680  1 Hg 3.02, 6 Tb 3.03-3.15, 2 Cd 3.16
Hg 0.0000 0.1320 0.3680  1 Hg 3.02, 6 Tb 3.03-3.15, 2 Cd 3.16

Record 4
An optimized crystal structure of SrTeAuO6. Source: Alexandria via LeMat-Bulk, functional PBE-GGA.

Mass density   6.1 g/cm3
ΔE_f (raw)   -1148 meV per atom
Symmetry   No. 5
E   -48.18 eV per cell

Unit cell a=5.3776 b=5.5098 c=5.4062 alpha=91.39 beta=90.71 gamma=59.19
Last column: nearest neighbours and their distance in Å.
Fractional coordinates of all 9 atoms:
O 0.3601 0.6228 0.3074  1 Te 1.99, 1 Au 2.07
Sr 0.0135 0.9933 0.0000  6 O 2.54-2.57
Te 0.3425 0.3288 0.5000  6 O 1.92-1.99
O 0.6098 0.3494 0.7263  1 Te 1.92
O 0.0158 0.6200 0.7035  1 Te 1.99, 1 Au 2.04
O 0.3601 0.0171 0.6926  1 Te 1.99, 1 Au 2.07
O 0.0157 0.3642 0.2965  1 Te 1.99, 1 Au 2.04
O 0.6096 0.0409 0.2736  1 Te 1.92
Au 0.6728 0.6636 0.5000  4 O 2.04-2.07

Record 5
An optimized crystal structure of Sm2Pd17. Source: Alexandria via LeMat-Bulk, functional PBE-GGA.

Formation enthalpy at 0 K   -5.94 eV per formula unit
Mass density   10.6 g/cm3
Symmetry   No. 166
E   -103.66 eV per cell

Unit cell a=6.9617 b=6.9617 c=6.9617 alpha=82.35 beta=82.35 gamma=82.35
Last column: nearest neighbours and their distance in Å.
Fractional coordinates of all 19 atoms:
Pd 0.6518 0.6518 0.1598  9 Pd 2.62-2.89
Sm 0.6695 0.6695 0.6695  16 Pd 3.11-3.46
Pd 0.8402 0.3482 0.3482  9 Pd 2.62-2.89
Pd 0.1598 0.6518 0.6518  9 Pd 2.62-2.89
Sm 0.3305 0.3305 0.3305  16 Pd 3.11-3.46
Pd 0.3054 0.0000 0.6946  8 Pd 2.67-2.81
Pd 0.0000 0.5000 0.0000  10 Pd 2.67-2.79
Pd 0.1010 0.1010 0.1010  7 Pd 2.74-2.89
Pd 0.6518 0.1598 0.6518  9 Pd 2.62-2.89
Pd 0.6946 0.0000 0.3054  8 Pd 2.67-2.81
Pd 0.5000 0.0000 0.0000  10 Pd 2.67-2.79
Pd 0.0000 0.0000 0.5000  10 Pd 2.67-2.79
Pd 0.0000 0.6946 0.3054  8 Pd 2.67-2.81
Pd 0.0000 0.3054 0.6946  8 Pd 2.67-2.81
Pd 0.3482 0.3482 0.8402  9 Pd 2.62-2.89
Pd 0.8990 0.8990 0.8990  7 Pd 2.74-2.89
Pd 0.3054 0.6946 0.0000  8 Pd 2.67-2.81
Pd 0.6946 0.3054 0.0000  8 Pd 2.67-2.81
Pd 0.3482 0.8402 0.3482  9 Pd 2.62-2.89

Record 6
An optimized crystal structure of Tb3Dy8Y2. Source: Alexandria via LeMat-Bulk, functional PBE-GGA.

Formation enthalpy at 0 K   3.08 eV per formula unit
Mass density   7.5 g/cm3
Symmetry   No. 65
E   -60.56 eV per cell
E above lowest polymorph   76 meV/atom

Unit cell a=5.6020 b=7.6253 c=10.8252 alpha=110.65 beta=90.01 gamma=90.00
Last column: nearest neighbours and their distance in Å.
Fractional coordinates of all 13 atoms:
Y 0.5003 0.7586 0.5172  8 Dy 3.37-3.57
Tb 0.0000 0.2866 0.0000  3 Tb 3.25-3.55, 6 Dy 3.45-3.55
Dy 0.0000 0.8679 0.7357  2 Tb 3.45-3.46, 2 Y 3.57, 4 Dy 3.60
Dy 0.4999 0.6034 0.7849  1 Tb 3.10, 3 Dy 3.22-3.44, 1 Y 3.46
Dy 0.0003 0.6662 0.3322  2 Y 3.37, 4 Dy 3.44, 2 Tb 3.74
Tb 0.0000 0.7134 0.0000  3 Tb 3.25-3.55, 6 Dy 3.45-3.55
Dy 0.5001 0.8186 0.2152  1 Tb 3.10, 3 Dy 3.22-3.44, 1 Y 3.46
Dy 0.0000 0.1321 0.2643  2 Tb 3.45-3.46, 2 Y 3.57, 4 Dy 3.60
Dy 0.9997 0.3338 0.6678  2 Y 3.37, 4 Dy 3.44, 2 Tb 3.74
Dy 0.4999 0.1814 0.7848  1 Tb 3.10, 3 Dy 3.22-3.44, 1 Y 3.46
Tb 0.5000 0.0000 0.0000  4 Dy 3.10
Y 0.4997 0.2414 0.4828  8 Dy 3.37-3.57
Dy 0.5001 0.3966 0.2151  1 Tb 3.10, 3 Dy 3.22-3.44, 1 Y 3.46

Record 7
An optimized crystal structure of MgNi2Ag2. Source: Alexandria via LeMat-Bulk, functional PBE-GGA.

Formation enthalpy at 0 K   0.99 eV per formula unit
Mass density   7.3 g/cm3
Symmetry   No. 139
E   -17.87 eV per cell
E above lowest polymorph   59 meV/atom

Unit cell a=3.4094 b=3.4094 c=7.3816 alpha=76.65 beta=76.65 gamma=90.00
Last column: nearest neighbours and their distance in Å.
Fractional coordinates of all 5 atoms:
Ag 0.6039 0.6039 0.7923  4 Ni 2.66, 4 Mg 2.81, 1 Ag 2.90
Mg 0.0000 0.0000 0.0000  8 Ag 2.81
Ag 0.3961 0.3961 0.2077  4 Ni 2.66, 4 Mg 2.81, 1 Ag 2.90
Ni 0.7500 0.2500 0.5000  4 Ni 2.41, 4 Ag 2.66
Ni 0.2500 0.7500 0.5000  4 Ni 2.41, 4 Ag 2.66

Record 8
An optimized crystal structure of KNaSr. Source: Alexandria via LeMat-Bulk, functional PBE-GGA.

Formation enthalpy at 0 K   0.68 eV per formula unit
Mass density   1.3 g/cm3
Symmetry   No. 216
E   -3.42 eV per cell
E above lowest polymorph   206 meV/atom

Unit cell a=6.3946 b=6.3946 c=6.3946 alpha=60.00 beta=60.00 gamma=60.00
Last column: nearest neighbours and their distance in Å.
Fractional coordinates of all 3 atoms:
Sr 0.0000 0.0000 0.0000  4 Na 3.92
Na 0.2500 0.2500 0.2500  4 Sr 3.92, 4 K 3.92
K 0.5000 0.5000 0.5000  4 Na 3.92

Record 9
An optimized crystal structure of Rb4Pu3BeS8. Source: Alexandria via LeMat-Bulk, functional PBE-GGA.

Mass density   5.6 g/cm3
ΔE_f (raw)   -1118 meV per atom
Symmetry   No. 12
E   -101.50 eV per cell

Unit cell a=11.0550 b=19.3605 c=7.1045 alpha=124.88 beta=141.08 gamma=90.00
Last column: nearest neighbours and their distance in Å.
Fractional coordinates of all 16 atoms:
S 0.6305 0.6993 0.2611  1 Be 2.65, 1 Pu 2.84, 1 S 2.96
S 0.1429 0.6648 0.2858  1 Be 2.10
Pu 0.5000 0.5000 0.5000  4 S 2.73-2.87
S 0.1240 0.7040 0.8258  3 Pu 2.73-2.87
S 0.8571 0.3352 0.7142  1 Be 2.10
Rb 0.0000 0.0000 0.5000  4 S 3.27-3.30, 4 Rb 3.55
Rb 0.5000 0.0000 0.5000  4 S 3.27-3.30, 4 Rb 3.55
S 0.7018 0.7040 0.8258  3 Pu 2.73-2.87
Rb 0.0000 0.0000 0.0000  4 S 3.13-3.20
S 0.2982 0.2960 0.1742  3 Pu 2.73-2.87
S 0.3695 0.3007 0.7389  1 Be 2.65, 1 Pu 2.84, 1 S 2.96
Pu 0.0000 0.5000 0.5000  4 S 2.73-2.87
Rb 0.5000 0.0000 0.0000  6 S 3.33-3.45, 4 Rb 3.55
S 0.8760 0.2960 0.1742  3 Pu 2.73-2.87
Be 0.0000 0.5000 0.0000  2 S 2.10
Pu 0.5000 0.5000 0.0000  8 S 2.84-3.13

Record 10
An optimized crystal structure of Be2InW. Source: Alexandria via LeMat-Bulk, functional PBE-GGA.

Formation enthalpy at 0 K   2.58 eV per formula unit
Mass density   8.8 g/cm3
Symmetry   No. 71
E   -20.57 eV per cell

Unit cell a=5.1796 b=5.1796 c=5.1796 alpha=147.37 beta=126.63 gamma=63.97
Last column: nearest neighbours and their distance in Å.
Fractional coordinates of all 4 atoms:
Be 0.4825 0.4825 0.0000  2 W 2.51, 4 Be 2.76, 2 In 2.76
Be 0.0175 0.0175 0.0000  2 W 2.51, 4 Be 2.76, 2 In 2.76
In 0.7500 0.2500 0.5000  4 W 2.74, 4 Be 2.76, 2 In 2.91
W 0.2500 0.7500 0.5000  4 Be 2.51, 4 In 2.74

Record 11
An optimized crystal structure of PmNiC. Source: Alexandria via LeMat-Bulk, functional PBE-GGA.

Formation enthalpy at 0 K   -0.08 eV per formula unit
Mass density   7.3 g/cm3
Symmetry   No. 62
E   -79.33 eV per cell
E above lowest polymorph   284 meV/atom

Unit cell a=3.4920 b=5.4164 c=10.4017 alpha=90.00 beta=90.00 gamma=90.00
Last column: nearest neighbours and their distance in Å.
Fractional coordinates of all 12 atoms:
Ni 0.2500 0.4219 0.5700  3 C 1.90-1.99
Pm 0.7500 0.4118 0.8368  3 C 2.50-2.57
C 0.7500 0.9212 0.1123  3 Ni 1.90-1.99
C 0.2500 0.0788 0.8877  3 Ni 1.90-1.99
Ni 0.7500 0.5781 0.4300  3 C 1.90-1.99
Pm 0.7500 0.0882 0.3368  3 C 2.50-2.57
C 0.2500 0.4212 0.3877  3 Ni 1.90-1.99
Pm 0.2500 0.9118 0.6632  3 C 2.50-2.57
C 0.7500 0.5788 0.6123  3 Ni 1.90-1.99
Ni 0.2500 0.0781 0.0700  3 C 1.90-1.99
Pm 0.2500 0.5882 0.1632  3 C 2.50-2.57
Ni 0.7500 0.9219 0.9300  3 C 1.90-1.99

Record 12
An optimized crystal structure of Nd3Dy3Ho5. Source: Alexandria via LeMat-Bulk, functional PBE-GGA.

Formation enthalpy at 0 K   8.89 eV per formula unit
Mass density   6.6 g/cm3
Symmetry   No. 189
E   -42.11 eV per cell

Unit cell a=5.4459 b=9.6449 c=9.6449 alpha=120.00 beta=90.00 gamma=90.00
Last column: nearest neighbours and their distance in Å.
Fractional coordinates of all 11 atoms:
Dy 0.0000 0.5466 0.0000  2 Nd 3.23, 2 Ho 3.27
Dy 0.0000 0.4534 0.4534  2 Nd 3.23, 2 Ho 3.27
Nd 0.5000 0.6344 0.6344  4 Ho 3.07-3.16, 2 Dy 3.23
Ho 0.5000 0.7336 0.0000  2 Nd 3.16, 2 Dy 3.27
Ho 0.5000 0.6667 0.3333  3 Nd 3.07
Ho 0.5000 0.0000 0.7336  2 Nd 3.16, 2 Dy 3.27
Dy 0.0000 0.0000 0.5466  2 Nd 3.23, 2 Ho 3.27
Ho 0.5000 0.3333 0.6667  3 Nd 3.07
Nd 0.5000 0.0000 0.3656  4 Ho 3.07-3.16, 2 Dy 3.23
Nd 0.5000 0.3656 0.0000  4 Ho 3.07-3.16, 2 Dy 3.23
Ho 0.5000 0.2664 0.2664  2 Nd 3.16, 2 Dy 3.27

Question: Which value of E does entry 11 give?
Answer: -79.33 eV per cell